Entry from Alexandria: a geometry-optimized ZnFeTc2Ge structure (PBE).

Cell lengths 4.569, 4.569, 4.338 Å; angles 90.00, 90.00, 90.00 degrees
Space group P4/mmm (No. 123)
Symmetry-distinct sites (fractional):
Zn 0.000 0.000 0.000
Fe 0.500 0.500 0.000
Tc 0.000 0.500 0.500
Ge 0.500 0.500 0.500

Properties
Total DFT energy (no corrections) in eV/f.u.: -29.29
N(E_F) in states/eV/f.u.: 10.31